Computed, not measured: a geometry-optimized CsGa2TeSe6 structure at the PBE level of DFT.

## Properties
Energy relative to the elements, uncorrected: -0.349 eV/atom
Space-group type: C2/c

a = 7.188 Å, b = 9.537 Å, c = 9.537 Å
α = 95.75°, β = 85.88°, γ = 85.88°
Atoms (fractional coordinates):
Cs: 0.250 0.952 0.048
Cs: 0.750 0.048 0.952
Ga: 0.275 0.791 0.615
Ga: 0.225 0.385 0.209
Ga: 0.725 0.209 0.385
Ga: 0.775 0.615 0.791
Te: 0.250 0.293 0.707
Te: 0.750 0.707 0.293
Se: 0.124 0.038 0.695
Se: 0.376 0.305 0.962
Se: 0.876 0.962 0.305
Se: 0.624 0.695 0.038
Se: 0.372 0.807 0.368
Se: 0.128 0.632 0.193
Se: 0.628 0.193 0.632
Se: 0.872 0.368 0.807
Se: 0.930 0.762 0.635
Se: 0.570 0.365 0.238
Se: 0.070 0.238 0.365
Se: 0.430 0.635 0.762